<1>
First-principles (PBE-GGA) data for crystalline Pa2SiS at its relaxed geometry, as listed in Alexandria via LeMat-Bulk.

Cell: 7.6075 7.6075 7.6075 Å, 28.87 28.87 28.87°
With the nearest neighbours (Å) after each atom.
Positions (direct):
Pa (0.0000, 0.0000, 0.0000)  3 Si 2.80, 3 S 2.87
Pa (0.1720, 0.1720, 0.1720)  3 Si 2.82, 3 S 2.90
Si (0.5865, 0.5865, 0.5865)  6 Pa 2.80-2.82
S (0.4182, 0.4182, 0.4182)  6 Pa 2.87-2.90

Spin magnetization: 0.00 μB per cell

<2>
First-principles (PBE-GGA) data for crystalline Pa2SiS at its relaxed geometry, as listed in Alexandria via LeMat-Bulk.

Cell: 6.7369 6.7369 6.7369 Å, 35.01 35.01 35.01°
With the nearest neighbours (Å) after each atom.
Positions (direct):
Pa (0.2475, 0.2475, 0.2475)  3 S 2.80, 3 Si 2.85
Pa (0.7525, 0.7525, 0.7525)  3 S 2.80, 3 Si 2.85
Si (0.0000, 0.0000, 0.0000)  6 Pa 2.85
S (0.5000, 0.5000, 0.5000)  6 Pa 2.80

Spin magnetization: 0.00 μB per cell

Which of them is least stable? Easy: <1>.

<1>
First-principles (PBE-GGA) data for crystalline SmPaS4 at its relaxed geometry, as listed in Alexandria via LeMat-Bulk.

Cell: 8.8874 8.8874 8.8874 Å, 28.81 28.81 28.81°
With the nearest neighbours (Å) after each atom.
Positions (direct):
Sm (0.0000, 0.0000, 0.0000)  6 S 2.88
Pa (0.5000, 0.5000, 0.5000)  8 S 2.70-2.93
S (0.2013, 0.2013, 0.2013)  3 Pa 2.70
S (0.3853, 0.3853, 0.3853)  3 Sm 2.88, 1 Pa 2.93
S (0.6147, 0.6147, 0.6147)  3 Sm 2.88, 1 Pa 2.93
S (0.7987, 0.7987, 0.7987)  3 Pa 2.70

Spin magnetization: 0.00 μB per cell

<2>
First-principles (PBE-GGA) data for crystalline SmPaS4 at its relaxed geometry, as listed in Alexandria via LeMat-Bulk.

Cell: 6.3356 6.3356 4.1871 Å, 90.00 90.00 91.05°
With the nearest neighbours (Å) after each atom.
Positions (direct):
Sm (0.0000, 0.0000, 0.0000)  6 S 2.78-2.85
Pa (0.5000, 0.5000, 0.5000)  6 S 2.62-2.68
S (0.2054, 0.2054, 0.5000)  1 Pa 2.62, 2 Sm 2.78
S (0.3156, 0.6844, 0.0000)  2 Pa 2.68, 1 Sm 2.85
S (0.6844, 0.3156, 0.0000)  2 Pa 2.68, 1 Sm 2.85
S (0.7946, 0.7946, 0.5000)  1 Pa 2.62, 2 Sm 2.78

Spin magnetization: 0.00 μB per cell

Which of them is least stable? Easy: <1>.

<1>
First-principles (PBE-GGA) data for crystalline Sm2Pa3S8 at its relaxed geometry, as listed in Alexandria via LeMat-Bulk.

Cell: 8.1268 8.1268 6.5774 Å, 106.17 106.17 58.64°
With the nearest neighbours (Å) after each atom.
Positions (direct):
Sm (0.2386, 0.2386, 0.1643)  6 S 2.80-2.85
Sm (0.7614, 0.7614, 0.8357)  6 S 2.80-2.85
Pa (0.2517, 0.7483, 0.5000)  6 S 2.71-2.77
Pa (0.5000, 0.5000, 0.0000)  6 S 2.74-2.77
Pa (0.7483, 0.2517, 0.5000)  6 S 2.71-2.77
S (0.1092, 0.1092, 0.4112)  2 Pa 2.71, 1 Sm 2.81
S (0.1409, 0.6087, 0.0830)  2 Pa 2.74-2.75, 2 Sm 2.84-2.85
S (0.3783, 0.3783, 0.5768)  3 Pa 2.77, 1 Sm 2.80
S (0.3913, 0.8591, 0.9170)  2 Pa 2.74-2.75, 2 Sm 2.84-2.85
S (0.6087, 0.1409, 0.0830)  2 Pa 2.74-2.75, 2 Sm 2.84-2.85
S (0.6217, 0.6217, 0.4232)  3 Pa 2.77, 1 Sm 2.80
S (0.8591, 0.3913, 0.9170)  2 Pa 2.74-2.75, 2 Sm 2.84-2.85
S (0.8908, 0.8908, 0.5888)  2 Pa 2.71, 1 Sm 2.81

Spin magnetization: 4.75 μB per cell

<2>
First-principles (PBE-GGA) data for crystalline Sm2Pa3S8 at its relaxed geometry, as listed in Alexandria via LeMat-Bulk.

Cell: 8.1937 8.1937 4.7680 Å, 90.00 90.00 109.78°
With the nearest neighbours (Å) after each atom.
Positions (direct):
Sm (0.2306, 0.7694, 0.0000)  6 S 2.79-3.02
Sm (0.7694, 0.2306, 0.0000)  6 S 2.79-3.02
Pa (0.2340, 0.2340, 0.5000)  8 S 2.75-2.93
Pa (0.5000, 0.5000, 0.0000)  8 S 2.77-2.83
Pa (0.7660, 0.7660, 0.5000)  8 S 2.75-2.93
S (0.1227, 0.8773, 0.5000)  2 Pa 2.75, 2 Sm 2.79
S (0.1411, 0.3798, 0.0000)  3 Pa 2.77-2.88, 2 Sm 2.87-3.02
S (0.3798, 0.1411, 0.0000)  3 Pa 2.77-2.88, 2 Sm 2.87-3.02
S (0.3864, 0.6136, 0.5000)  4 Pa 2.83-2.93, 1 S 3.05
S (0.6136, 0.3864, 0.5000)  4 Pa 2.83-2.93, 1 S 3.05
S (0.6202, 0.8589, 0.0000)  3 Pa 2.77-2.88, 2 Sm 2.87-3.02
S (0.8589, 0.6202, 0.0000)  3 Pa 2.77-2.88, 2 Sm 2.87-3.02
S (0.8773, 0.1227, 0.5000)  2 Pa 2.75, 2 Sm 2.79

Spin magnetization: 1.82 μB per cell

Which of them is least stable? Easy: <1>.

<1>
First-principles (PBE-GGA) data for crystalline Pa2SnS at its relaxed geometry, as listed in Alexandria via LeMat-Bulk.

Cell: 3.3715 3.3715 7.9424 Å, 90.00 90.00 90.00°
With the nearest neighbours (Å) after each atom.
Positions (direct):
Pa (0.0000, 0.0000, 0.2145)  4 S 2.93
Pa (0.0000, 0.0000, 0.7855)  4 S 2.93
Sn (0.5000, 0.5000, 0.5000)  8 Pa 3.29, 4 Sn 3.37
S (0.5000, 0.5000, 0.0000)  8 Pa 2.93

Spin magnetization: 0.72 μB per cell

<2>
First-principles (PBE-GGA) data for crystalline Pa2SnS at its relaxed geometry, as listed in Alexandria via LeMat-Bulk.

Cell: 9.4123 9.4123 9.4123 Å, 20.97 20.97 20.97°
With the nearest neighbours (Å) after each atom.
Positions (direct):
Pa (0.2366, 0.2366, 0.2366)  3 S 2.76
Pa (0.7634, 0.7634, 0.7634)  3 S 2.76
Sn (0.0000, 0.0000, 0.0000)  6 Pa 3.32, 6 Sn 3.42
S (0.5000, 0.5000, 0.5000)  6 Pa 2.76

Spin magnetization: 0.00 μB per cell

Which of them is least stable? Easy: <1>.